Record 1
VASP calculation (PBE) on a geometry-optimized Be2HgP structure.

Cell: 2.682 3.290 6.666 Å, 89.96 90.00 90.00°
Atoms (fractional coordinates):
P 0.500 0.750 0.750
Hg 0.500 0.250 0.250
Be 0.000 0.250 0.917
Be 0.000 0.250 0.583

- ΔH_f (0 K) (eV per atom) = 0.3250
- space group = Pmmm

---

Record 2
VASP calculation (PBE) on a geometry-optimized CsMnI2Cl structure.

Cell: 5.967 5.049 5.967 Å, 90.00 90.00 90.00°
Last column: magnetic moment on the atom in μB.
Atoms (fractional coordinates):
Cs 0.500 0.500 0.500  0.00
I 0.000 0.000 0.500  0.04
I 0.500 0.000 0.000  0.07
Mn 0.000 0.000 0.000  4.42
Cl 0.000 0.500 0.000  0.06

- ΔE_f (raw) (eV/atom) = -1.032
- space group = P4/mmm

---

no.,DOS at the Fermi energy (states/eV/cell)
1,1.26
2,0.00